In2GeTeIr: optimized geometry, PBE-GGA.

```
In2GeTeIr
1.0
5.295 0.000 0.000
0.000 5.295 0.000
0.000 0.000 4.711
In Ge Te Ir
2 1 1 1
Direct
0.000 0.500 0.000
0.500 0.000 0.000
0.000 0.000 0.500
0.500 0.500 0.500
0.000 0.000 0.000
```

Summary:
* uncorrected formation energy: -0.12 eV/atom
* space group: P4/mmm (123)
* total energy: -4.5442 eV per atom
* magnetization: 0.00 μB/cell

=====

ThInGe2Ir5: optimized geometry, PBE-GGA.

```
ThInGe2Ir5
1.0
3.980 0.000 0.000
0.000 3.980 0.000
0.000 0.000 11.596
Th In Ge Ir
1 1 2 5
Direct
0.000 0.000 0.000
0.000 0.000 0.500
0.500 0.500 0.211
0.500 0.500 0.789
0.000 0.500 0.332
0.000 0.500 0.668
0.500 0.000 0.332
0.500 0.000 0.668
0.500 0.500 0.000
```

Summary:
* space group: P4/mmm (123)
* total energy: -7.2241 eV per atom
* ΔH_f (0 K): -147 meV/atom
* magnetization: 0.00 μB/cell

=====

Th2InGe3Ir4: optimized geometry, PBE-GGA.

```
Th2InGe3Ir4
1.0
4.185 0.000 0.000
0.000 4.185 0.000
0.000 0.000 11.106
Th In Ge Ir
2 1 3 4
Direct
0.000 0.500 0.245
0.500 0.000 0.755
0.000 0.000 0.500
0.000 0.500 0.877
0.500 0.000 0.123
0.500 0.500 0.500
0.000 0.000 0.000
0.000 0.500 0.660
0.500 0.000 0.340
0.500 0.500 0.000
```

Summary:
* space group: P-4m2 (115)
* total energy: -7.4079 eV per atom
* ΔH_f (0 K): -721 meV/atom
* magnetization: 0.00 μB/cell

=====

YInGeIr2: optimized geometry, PBE-GGA.

```
YInGeIr2
1.0
4.620 0.000 0.000
0.000 4.620 0.000
0.000 0.000 5.352
Y In Ge Ir
1 1 1 2
Direct
0.000 0.000 0.000
0.500 0.500 0.000
0.000 0.000 0.500
0.000 0.500 0.500
0.500 0.000 0.500
```

Summary:
* space group: P4/mmm (123)
* total energy: -5.9391 eV per atom
* ΔH_f (0 K): 369 meV/atom
* magnetization: 0.00 μB/cell

=====

K2In5Ge3: optimized geometry, PBE-GGA.

```
K2In5Ge3
1.0
4.989 0.000 0.000
0.000 4.989 0.000
0.000 0.000 11.439
K In Ge
2 5 3
Direct
0.000 0.500 0.236
0.500 0.000 0.764
0.000 0.000 0.500
0.000 0.500 0.651
0.500 0.000 0.349
0.500 0.500 0.000
0.500 0.500 0.500
0.000 0.000 0.000
0.000 0.500 0.892
0.500 0.000 0.108
```

Summary:
* space group: P-4m2 (115)
* total energy: -3.0591 eV per atom
* ΔH_f (0 K): -85 meV/atom
* magnetization: 0.00 μB/cell

=====

KIn3Ge3: optimized geometry, PBE-GGA.

```
KIn3Ge3
1.0
7.674 0.000 0.000
0.000 7.674 0.000
0.000 0.000 7.674
K In Ge
2 6 6
Direct
0.000 0.000 0.000
0.500 0.500 0.500
0.000 0.250 0.500
0.000 0.750 0.500
0.250 0.500 0.000
0.500 0.000 0.250
0.500 0.000 0.750
0.750 0.500 0.000
0.000 0.500 0.250
0.000 0.500 0.750
0.250 0.000 0.500
0.500 0.250 0.000
0.500 0.750 0.000
0.750 0.000 0.500
```

Summary:
* space group: Pm-3n (223)
* total energy: -3.2513 eV per atom
* ΔH_f (0 K): 58 meV/atom
* magnetization: 0.00 μB/cell